# 1
A relaxed structure of Be2HgSb. Source: Alexandria, functional PBE.

The value obtained for the formation energy from raw total energies is 716.0 meV/atom. Its energy above the most stable polymorph in this dataset is 418.5 meV per atom.

abc: 4.7954 4.7954 3.0765
angles: 90.00 90.00 90.00
Space group P4/mmm (No. 123)
One atom of each set of equivalent atoms:
Be1 0.0000 0.5000 0.0000 [2 per cell]
Hg1 0.0000 0.0000 0.5000 [1 per cell]
Sb1 0.5000 0.5000 0.5000 [1 per cell]

---

# 2
A relaxed structure of Be2HgSb. Source: Alexandria, functional PBE.

The value obtained for the formation energy from raw total energies is 715.2 meV/atom. Its energy above the most stable polymorph in this dataset is 417.7 meV per atom.

abc: 4.3474 4.3474 7.4580
angles: 90.00 90.00 90.00
Space group I4/mmm (No. 139)
One atom of each set of equivalent atoms:
Be1 0.0000 0.5000 0.2500 [4 per cell]
Hg1 0.0000 0.0000 0.0000 [2 per cell]
Sb1 0.0000 0.0000 0.5000 [2 per cell]

---

# 3
A relaxed structure of Be2HgSb. Source: Alexandria, functional PBE.

The value obtained for the formation energy from raw total energies is 936.9 meV/atom. Its energy above the most stable polymorph in this dataset is 639.3 meV per atom.

abc: 6.7149 6.7149 6.7149
angles: 90.00 90.00 90.00
Space group F-43m (No. 216)
One atom of each set of equivalent atoms:
Be1 0.0000 0.0000 0.0000 [4 per cell]
Be2 0.2500 0.2500 0.2500 [4 per cell]
Hg1 0.0000 0.0000 0.5000 [4 per cell]
Sb1 0.2500 0.2500 0.7500 [4 per cell]

---

# 4
A relaxed structure of Be2HgSb. Source: Alexandria, functional PBE.

The value obtained for the formation energy from raw total energies is 733.2 meV/atom. Its energy above the most stable polymorph in this dataset is 435.7 meV per atom.

abc: 6.5860 6.5860 6.5860
angles: 90.00 90.00 90.00
Space group Fm-3m (No. 225)
One atom of each set of equivalent atoms:
Be1 0.2500 0.2500 0.2500 [8 per cell]
Hg1 0.0000 0.0000 0.0000 [4 per cell]
Sb1 0.0000 0.0000 0.5000 [4 per cell]

---

# 5
A relaxed structure of Be2HgSb. Source: Alexandria, functional PBE.

The value obtained for the formation energy from raw total energies is 630.3 meV/atom. Its energy above the most stable polymorph in this dataset is 332.7 meV per atom.

abc: 4.1020 5.7372 6.2611
angles: 90.00 90.00 90.00
Space group Cmmm (No. 65)
One atom of each set of equivalent atoms:
Be1 0.0000 0.0000 0.2093 [4 per cell]
Hg1 0.0000 0.5000 0.0000 [2 per cell]
Sb1 0.0000 0.5000 0.5000 [2 per cell]

---

# 6
A relaxed structure of Be2HgSb. Source: Alexandria, functional PBE.

The value obtained for the formation energy from raw total energies is 653.0 meV/atom. Its energy above the most stable polymorph in this dataset is 355.4 meV per atom.

abc: 3.6239 3.6239 11.1806
angles: 90.00 90.00 90.00
Space group I-4m2 (No. 119)
One atom of each set of equivalent atoms:
Be1 0.0000 0.0000 0.0000 [2 per cell]
Be2 0.0000 0.5000 0.2500 [2 per cell]
Hg1 0.0000 0.5000 0.7500 [2 per cell]
Sb1 0.0000 0.0000 0.5000 [2 per cell]

---

# 7
A relaxed structure of BeHg4Sb. Source: Alexandria, functional PBE.

The value obtained for the formation energy from raw total energies is 655.7 meV/atom.

abc: 8.4747 8.4747 8.4747
angles: 90.00 90.00 90.00
Space group F-43m (No. 216)
One atom of each set of equivalent atoms:
Be1 0.0000 0.0000 0.0000 [4 per cell]
Hg1 0.1252 0.1252 0.6252 [16 per cell]
Sb1 0.2500 0.2500 0.2500 [4 per cell]

---

# 8
A relaxed structure of Be2HgSb. Source: Alexandria, functional PBE.

The value obtained for the formation energy from raw total energies is 347.6 meV/atom. Its energy above the most stable polymorph in this dataset is 50.0 meV per atom.

abc: 3.7561 3.7561 18.0839
angles: 90.00 90.00 120.00
Space group R3m (No. 160, hexagonal axes)
One atom of each set of equivalent atoms:
Be1 0.0000 0.0000 0.0000 [3 per cell]
Be2 0.0000 0.0000 0.3243 [3 per cell]
Hg1 0.0000 0.0000 0.5604 [3 per cell]
Sb1 0.0000 0.0000 0.7457 [3 per cell]

---

Number 1: DOS(E_F) 2.27 states/eV/f.u.. Number 2: DOS(E_F) 1.90 states/eV/f.u.. Number 3: DOS(E_F) 2.77 states/eV/f.u.. Number 4: DOS(E_F) 2.68 states/eV/f.u.. Number 5: DOS(E_F) 1.06 states/eV/f.u.. Number 6: DOS(E_F) 2.06 states/eV/f.u.. Number 7: DOS(E_F) 3.92 states/eV/f.u.. Number 8: DOS(E_F) 0.38 states/eV/f.u..